# ErMg5Pd (GGA-PBE, optimized geometry)
# **Symmetry**: P4/mmm
# **Crystal system**: tetragonal
# **ΔH_f (0 K)**: -0.2416 eV per atom
data_ErMg5Pd
_cell_length_a 4.6013
_cell_length_b 4.6013
_cell_length_c 7.6266
_cell_angle_alpha 90.00
_cell_angle_beta 90.00
_cell_angle_gamma 90.00
_space_group_name_H-M_alt 'P 1'
_space_group_IT_number 1
_space_group_name_Hall 'P 1'
loop_
_atom_site_label
_atom_site_type_symbol
_atom_site_fract_x
_atom_site_fract_y
_atom_site_fract_z
Mg1 Mg 0.0000 0.5000 0.6957
Mg2 Mg 0.0000 0.5000 0.3043
Mg3 Mg 0.5000 0.5000 0.0000
Mg4 Mg 0.5000 0.0000 0.3043
Mg5 Mg 0.5000 0.0000 0.6957
Er1 Er 0.0000 0.0000 0.0000
Pd1 Pd 0.0000 0.0000 0.5000

# Ba2NdAgSe4 (GGA-PBE, optimized geometry)
# **Symmetry**: P2/m
# **Crystal system**: monoclinic
# **Raw formation energy**: -1538 meV/atom
data_Ba2NdAgSe4
_cell_length_a 4.4696
_cell_length_b 7.7057
_cell_length_c 7.7977
_cell_angle_alpha 69.38
_cell_angle_beta 90.00
_cell_angle_gamma 90.00
_space_group_name_H-M_alt 'P 1'
_space_group_IT_number 1
_space_group_name_Hall 'P 1'
loop_
_atom_site_label
_atom_site_type_symbol
_atom_site_fract_x
_atom_site_fract_y
_atom_site_fract_z
Ba1 Ba 0.5000 0.0000 0.5000
Ba2 Ba 0.0000 0.0000 0.0000
Se1 Se 0.0000 0.7143 0.7574
Se2 Se 0.0000 0.2857 0.2426
Se3 Se 0.5000 0.2733 0.7308
Se4 Se 0.5000 0.7267 0.2692
Nd1 Nd 0.0000 0.5000 0.5000
Ag1 Ag 0.5000 0.5000 0.0000

# PmSm2DyY2 (GGA-PBE, optimized geometry)
# **Symmetry**: Pnnm
# **Crystal system**: orthorhombic
# **ΔH_f (0 K)**: 0.2551 eV per atom
data_PmSm2DyY2
_cell_length_a 3.4181
_cell_length_b 6.6296
_cell_length_c 17.8121
_cell_angle_alpha 90.00
_cell_angle_beta 90.00
_cell_angle_gamma 90.00
_space_group_name_H-M_alt 'P 1'
_space_group_IT_number 1
_space_group_name_Hall 'P 1'
loop_
_atom_site_label
_atom_site_type_symbol
_atom_site_fract_x
_atom_site_fract_y
_atom_site_fract_z
Y1 Y 0.5000 0.7302 0.3177
Y2 Y 0.0000 0.2302 0.1823
Y3 Y 0.0000 0.7698 0.8177
Y4 Y 0.5000 0.2698 0.6823
Pm1 Pm 0.5000 0.5000 0.5000
Pm2 Pm 0.0000 0.0000 0.0000
Sm1 Sm 0.0000 0.2730 0.8515
Sm2 Sm 0.5000 0.7730 0.6485
Sm3 Sm 0.5000 0.2270 0.3515
Sm4 Sm 0.0000 0.7270 0.1485
Dy1 Dy 0.5000 0.5000 0.0000
Dy2 Dy 0.0000 0.0000 0.5000

# La6SiS2Cl3 (GGA-PBE, optimized geometry)
# **Symmetry**: C2/m
# **Crystal system**: monoclinic
# **Raw formation energy**: -1684 meV/atom
data_La6SiS2Cl3
_cell_length_a 4.2491
_cell_length_b 8.3994
_cell_length_c 9.4770
_cell_angle_alpha 103.81
_cell_angle_beta 102.95
_cell_angle_gamma 90.00
_space_group_name_H-M_alt 'P 1'
_space_group_IT_number 1
_space_group_name_Hall 'P 1'
loop_
_atom_site_label
_atom_site_type_symbol
_atom_site_fract_x
_atom_site_fract_y
_atom_site_fract_z
Cl1 Cl 0.5000 0.5000 0.0000
Cl2 Cl 0.8369 0.1709 0.6738
Cl3 Cl 0.1631 0.8291 0.3262
La1 La 0.0077 0.2430 0.0154
La2 La 0.6723 0.5676 0.3446
La3 La 0.3277 0.4324 0.6554
La4 La 0.3363 0.9014 0.6727
La5 La 0.9923 0.7570 0.9846
La6 La 0.6637 0.0986 0.3273
S1 S 0.8316 0.6657 0.6632
S2 S 0.1684 0.3343 0.3368
Si1 Si 0.5000 0.0000 0.0000